# Tb2NdBi, optimized geometry, DFT PBE-GGA
data_Tb2NdBi
_chemical_formula_sum 'Tb2 Nd1 Bi1'
_cell_length_a 4.8909
_cell_length_b 4.9395
_cell_length_c 4.9395
_cell_angle_alpha 90.00
_cell_angle_beta 90.00
_cell_angle_gamma 90.00
_symmetry_space_group_name_H-M 'P 1'
_symmetry_Int_Tables_number 1
loop_
_symmetry_equiv_pos_as_xyz
'x,y,z'
loop_
_atom_site_label
_atom_site_fract_x
_atom_site_fract_y
_atom_site_fract_z
Tb1 0.0000 0.0000 0.5000
Tb2 0.0000 0.5000 0.0000
Bi1 0.5000 0.0000 0.0000
Nd1 0.5000 0.5000 0.5000
# Total energy in Ry/atom: -0.3571
# Space group: P4/mmm, No. 123
# Crystal system: tetragonal

=====

# TbNd3Bi3, optimized geometry, DFT PBE-GGA
data_TbNd3Bi3
_chemical_formula_sum 'Tb4 Nd12 Bi12'
_cell_length_a 9.6333
_cell_length_b 9.6333
_cell_length_c 9.6333
_cell_angle_alpha 90.00
_cell_angle_beta 90.00
_cell_angle_gamma 90.00
_symmetry_space_group_name_H-M 'P 1'
_symmetry_Int_Tables_number 1
loop_
_symmetry_equiv_pos_as_xyz
'x,y,z'
loop_
_atom_site_label
_atom_site_fract_x
_atom_site_fract_y
_atom_site_fract_z
Nd1 0.0681 0.4319 0.5681
Nd2 0.4319 0.5681 0.0681
Nd3 0.3233 0.1767 0.8233
Nd4 0.8218 0.6782 0.3218
Nd5 0.9319 0.9319 0.9319
Nd6 0.1782 0.1782 0.1782
Nd7 0.6767 0.6767 0.6767
Nd8 0.5681 0.0681 0.4319
Nd9 0.1767 0.8233 0.3233
Nd10 0.3218 0.8218 0.6782
Nd11 0.6782 0.3218 0.8218
Nd12 0.8233 0.3233 0.1767
Tb1 0.9270 0.0730 0.5730
Tb2 0.0730 0.5730 0.9270
Tb3 0.5730 0.9270 0.0730
Tb4 0.4270 0.4270 0.4270
Bi1 0.1279 0.5016 0.2448
Bi2 0.7552 0.6279 0.9984
Bi3 0.2552 0.8721 0.0016
Bi4 0.6279 0.9984 0.7552
Bi5 0.4984 0.7448 0.3721
Bi6 0.3721 0.4984 0.7448
Bi7 0.0016 0.2552 0.8721
Bi8 0.9984 0.7552 0.6279
Bi9 0.8721 0.0016 0.2552
Bi10 0.7448 0.3721 0.4984
Bi11 0.2448 0.1279 0.5016
Bi12 0.5016 0.2448 0.1279
# Total energy in Ry/atom: -0.3805
# Space group: P2_13, No. 198
# Crystal system: cubic

=====

# Tb4NdBi2, optimized geometry, DFT PBE-GGA
data_Tb4NdBi2
_chemical_formula_sum 'Tb4 Nd1 Bi2'
_cell_length_a 5.3795
_cell_length_b 5.3795
_cell_length_c 9.2331
_cell_angle_alpha 106.94
_cell_angle_beta 106.94
_cell_angle_gamma 90.00
_symmetry_space_group_name_H-M 'P 1'
_symmetry_Int_Tables_number 1
loop_
_symmetry_equiv_pos_as_xyz
'x,y,z'
loop_
_atom_site_label
_atom_site_fract_x
_atom_site_fract_y
_atom_site_fract_z
Bi1 0.6343 0.6343 0.2687
Bi2 0.3657 0.3657 0.7313
Nd1 0.0000 0.0000 0.0000
Tb1 0.8188 0.8188 0.6376
Tb2 0.5000 0.0000 0.0000
Tb3 0.1812 0.1812 0.3624
Tb4 0.0000 0.5000 0.0000
# Total energy in Ry/atom: -0.3045
# Space group: I4/mmm, No. 139
# Crystal system: tetragonal

=====

# TbNdBi2, optimized geometry, DFT PBE-GGA
data_TbNdBi2
_chemical_formula_sum 'Tb1 Nd1 Bi2'
_cell_length_a 4.5528
_cell_length_b 4.5528
_cell_length_c 7.8787
_cell_angle_alpha 73.14
_cell_angle_beta 73.14
_cell_angle_gamma 60.07
_symmetry_space_group_name_H-M 'P 1'
_symmetry_Int_Tables_number 1
loop_
_symmetry_equiv_pos_as_xyz
'x,y,z'
loop_
_atom_site_label
_atom_site_fract_x
_atom_site_fract_y
_atom_site_fract_z
Bi1 0.7475 0.7475 0.7577
Bi2 0.2525 0.2525 0.2423
Nd1 0.5000 0.5000 0.5000
Tb1 0.0000 0.0000 0.0000
# Total energy in Ry/atom: -0.3824
# Space group: C2/m, No. 12
# Crystal system: monoclinic